[1]
# VFePd5 | the Alexandria database | PBE | optimized geometry
data_VFePd5
_cell_length_a 5.1592
_cell_length_b 6.7657
_cell_length_c 6.8750
_cell_angle_alpha 90.00
_cell_angle_beta 90.00
_cell_angle_gamma 90.00
_space_group_name_H-M_alt 'I m m 2'
_space_group_IT_number 44
loop_
_space_group_symop_operation_xyz
'x,y,z'
'-x,-y,z'
'-x,y,z'
'x,-y,z'
'x+1/2,y+1/2,z+1/2'
'-x+1/2,-y+1/2,z+1/2'
'-x+1/2,y+1/2,z+1/2'
'x+1/2,-y+1/2,z+1/2'
loop_
_atom_site_label
_atom_site_type_symbol
_atom_site_fract_x
_atom_site_fract_y
_atom_site_fract_z
V1 V 0.0000 0.0000 0.0000
Fe1 Fe 0.0000 0.5000 0.4963
Pd1 Pd 0.0000 0.1875 0.3302
Pd2 Pd 0.0000 0.5000 0.8307
Pd3 Pd 0.2436 0.0000 0.6677
# Energy of formation from the pure elements (eV/atom): 0.35
# DOS(E_F) (states/eV/f.u.): 5.82
# Total DFT energy (no corrections) (eV/atom): -5.8673
# ΔE to the lowest computed polymorph (kJ/mol of formula units): 279

=====

[2]
# VFePd | the Alexandria database | PBE | optimized geometry
data_VFePd
_cell_length_a 4.0548
_cell_length_b 4.0548
_cell_length_c 18.1114
_cell_angle_alpha 90.00
_cell_angle_beta 90.00
_cell_angle_gamma 120.00
_space_group_name_H-M_alt 'R -3 m'
_space_group_IT_number 166
_space_group_name_Hall '-R 3 2"'
loop_
_atom_site_label
_atom_site_type_symbol
_atom_site_fract_x
_atom_site_fract_y
_atom_site_fract_z
V1 V 0.0000 0.0000 0.0638
Fe1 Fe 0.0000 0.0000 0.3597
Pd1 Pd 0.0000 0.0000 0.2094
# Energy of formation from the pure elements (eV/atom): 0.09
# DOS(E_F) (states/eV/f.u.): 3.34
# Total DFT energy (no corrections) (eV/atom): -7.5004
# ΔE to the lowest computed polymorph (kJ/mol of formula units): 47

=====

[3]
# V2Fe3Pd8 | the Alexandria database | PBE | optimized geometry
data_V2Fe3Pd8
_cell_length_a 11.1500
_cell_length_b 7.0132
_cell_length_c 5.1222
_cell_angle_alpha 90.00
_cell_angle_beta 96.18
_cell_angle_gamma 90.00
_space_group_name_H-M_alt 'C 1 2/m 1'
_space_group_IT_number 12
loop_
_space_group_symop_operation_xyz
'x,y,z'
'-x,-y,-z'
'-x,y,-z'
'x,-y,z'
'x+1/2,y+1/2,z'
'-x+1/2,-y+1/2,-z'
'-x+1/2,y+1/2,-z'
'x+1/2,-y+1/2,z'
loop_
_atom_site_label
_atom_site_type_symbol
_atom_site_fract_x
_atom_site_fract_y
_atom_site_fract_z
V1 V 0.1923 0.0000 0.2590
Fe1 Fe 0.0000 0.0000 0.5000
Fe2 Fe 0.0000 0.1678 0.0000
Pd1 Pd 0.1025 0.5000 0.8989
Pd2 Pd 0.1210 0.3081 0.4339
Pd3 Pd 0.1914 0.0000 0.7871
# Energy of formation from the pure elements (eV/atom): 0.04
# DOS(E_F) (states/eV/f.u.): 10.94
# Total DFT energy (no corrections) (eV/atom): -6.5099